Entry 1:
A geometry-optimized ThCoBi structure, computed with PBE-GGA.

The value obtained for the formation energy is -0.937 kcal/mol of atoms. For the size of the total moment, the calculation gives 0.0 μB/cell. As for the mass density: 9.97 g/cm3.

The structure belongs to space group I4mm (No. 107); the cell edges are 3.6493, 3.6493 and 12.5061 Å and the angles 90.00°, 90.00° and 90.00°. Symmetry generates all atoms from Th at (0.0000, 0.0000, 0.0000), Co at (0.0000, 0.0000, 0.5275) and Bi at (0.0000, 0.0000, 0.7315).

Entry 2:
A geometry-optimized BaMnAs2Os structure, computed with PBE-GGA.

The value obtained for the formation energy is 67.180 kcal/mol of atoms. For the size of the total moment, the calculation gives 0.5 μB/cell. As for the mass density: 5.76 g/cm3.

The structure belongs to space group P4/mmm (No. 123); the cell edges are 5.4735, 5.4735 and 5.1252 Å and the angles 90.00°, 90.00° and 90.00°. Symmetry generates all atoms from Ba at (0.0000, 0.0000, 0.0000), Mn at (0.5000, 0.5000, 0.5000), As at (0.0000, 0.5000, 0.0000) and Os at (0.0000, 0.0000, 0.5000).

Entry 3:
A geometry-optimized V2NiRh2 structure, computed with PBE-GGA.

The value obtained for the formation energy is -5.144 kcal/mol of atoms. For the size of the total moment, the calculation gives 0.0 μB/cell. As for the mass density: 9.18 g/cm3.

The structure belongs to space group P2_1/c (No. 14); the cell edges are 10.8090, 5.2776 and 4.6853 Å and the angles 90.00°, 97.38° and 90.00°. Symmetry generates all atoms from V at (0.0000, 0.1289, 0.2339), V at (0.3924, 0.1109, 0.3524), Ni at (0.1960, 0.6326, 0.6349), Rh at (0.1947, 0.1244, 0.6302) and Rh at (0.4033, 0.6227, 0.3658).

Entry 4:
A geometry-optimized BaCa2W structure, computed with PBE-GGA.

The value obtained for the formation energy is 19.663 kcal/mol of atoms. For the size of the total moment, the calculation gives 0.0 μB/cell. As for the mass density: 5.19 g/cm3. The value obtained for the offset from the most stable computed form is 0.000 eV per formula unit.

The structure belongs to space group P2/m (No. 10); the cell edges are 3.3460, 3.3522 and 11.4519 Å and the angles 90.00°, 90.25° and 90.00°. Symmetry generates all atoms from Ba at (0.0000, 0.0000, 0.0000), Ca at (0.4971, 0.5000, 0.3144) and W at (0.0000, 0.0000, 0.5000).

Entry 5:
A geometry-optimized CsNp2S5 structure, computed with PBE-GGA.

The value obtained for the total energy is -7.16 eV per atom. For the size of the total moment, the calculation gives 10.0 μB/cell. As for the mass density: 6.25 g/cm3.

The structure belongs to space group Immm (No. 71); the cell edges are 4.1917, 6.8659 and 14.1656 Å and the angles 90.00°, 90.00° and 90.00°. Symmetry generates all atoms from Cs at (0.0000, 0.0000, 0.0000), Np at (0.0000, 0.5000, 0.1864), S at (0.0000, 0.2455, 0.3375) and S at (0.0000, 0.5000, 0.0000).

Entry 6:
A geometry-optimized Sc2TiRuN structure, computed with PBE-GGA.

The value obtained for the total energy is -8.48 eV per atom. For the size of the total moment, the calculation gives 0.0 μB/cell. As for the mass density: 5.42 g/cm3.

The structure belongs to space group P4/mmm (No. 123); the cell edges are 4.3914, 4.3914 and 4.0206 Å and the angles 90.00°, 90.00° and 90.00°. Symmetry generates all atoms from Sc at (0.0000, 0.5000, 0.0000), Ti at (0.0000, 0.0000, 0.5000), Ru at (0.5000, 0.5000, 0.5000) and N at (0.0000, 0.0000, 0.0000).

Entry 7:
A geometry-optimized LiTbThNi structure, computed with PBE-GGA.

The value obtained for the formation energy is -0.291 kcal/mol of atoms. For the size of the total moment, the calculation gives 0.0 μB/cell. As for the mass density: 8.58 g/cm3.

The structure belongs to space group F-43m (No. 216); the cell edges are 7.0717, 7.0717 and 7.0717 Å and the angles 90.00°, 90.00° and 90.00°. Symmetry generates all atoms from Li at (0.0000, 0.0000, 0.0000), Tb at (0.2500, 0.2500, 0.2500), Th at (0.2500, 0.2500, 0.7500) and Ni at (0.0000, 0.0000, 0.5000).

Entry 8:
A geometry-optimized Ba2Al3TlIn4 structure, computed with PBE-GGA.

The value obtained for the formation energy is -5.816 kcal/mol of atoms. For the size of the total moment, the calculation gives 0.0 μB/cell. As for the mass density: 5.95 g/cm3.

The structure belongs to space group P-4m2 (No. 115); the cell edges are 4.8936, 4.8936 and 11.8790 Å and the angles 90.00°, 90.00° and 90.00°. Symmetry generates all atoms from Ba at (0.0000, 0.5000, 0.2460), Al at (0.0000, 0.5000, 0.8718), Al at (0.5000, 0.5000, 0.5000), Tl at (0.0000, 0.0000, 0.5000), In at (0.0000, 0.0000, 0.0000), In at (0.0000, 0.5000, 0.6399) and In at (0.5000, 0.5000, 0.0000).

Entry 9:
A geometry-optimized Ta2Pd3Pt3 structure, computed with PBE-GGA.

The value obtained for the formation energy is -12.043 kcal/mol of atoms. For the size of the total moment, the calculation gives 0.0 μB/cell. As for the mass density: 16.23 g/cm3.

The structure belongs to space group R32 (No. 155, hexagonal axes); the cell edges are 7.4064, 7.4064 and 8.1822 Å and the angles 90.00°, 90.00° and 120.00°. Symmetry generates all atoms from Ta at (0.0000, 0.0000, 0.2291), Pd at (0.0000, 0.7401, 0.5000) and Pt at (0.0000, 0.2898, 0.0000).

Entry 10:
A geometry-optimized CsW3N structure, computed with PBE-GGA.

For the size of the total moment, the calculation gives 1.2 μB/cell. As for the mass density: 9.63 g/cm3. The value obtained for the offset from the most stable computed form is 17.066 eV per formula unit.

The structure belongs to space group Pm-3m (No. 221); the cell edges are 4.9376, 4.9376 and 4.9376 Å and the angles 90.00°, 90.00° and 90.00°. Symmetry generates all atoms from Cs at (0.0000, 0.0000, 0.0000), W at (0.0000, 0.0000, 0.5000) and N at (0.5000, 0.5000, 0.5000).

Entry 11:
A geometry-optimized Sr4PtAu structure, computed with PBE-GGA.

The value obtained for the formation energy is 12.394 kcal/mol of atoms. For the size of the total moment, the calculation gives 0.0 μB/cell. As for the mass density: 6.25 g/cm3. The value obtained for the offset from the most stable computed form is 6.804 eV per formula unit.

The structure belongs to space group F-43m (No. 216); the cell edges are 9.2402, 9.2402 and 9.2402 Å and the angles 90.00°, 90.00° and 90.00°. Symmetry generates all atoms from Sr at (0.1245, 0.1245, 0.3755), Pt at (0.2500, 0.2500, 0.7500) and Au at (0.0000, 0.0000, 0.0000).

Entry 12:
A geometry-optimized Er5Tm4In structure, computed with PBE-GGA.

The value obtained for the formation energy is 1.867 kcal/mol of atoms. For the size of the total moment, the calculation gives 0.0 μB/cell. As for the mass density: 8.80 g/cm3. The value obtained for the offset from the most stable computed form is 0.000 eV per formula unit.

The structure belongs to space group C2/m (No. 12); the cell edges are 17.4704, 3.5502 and 9.9329 Å and the angles 90.00°, 94.94° and 90.00°. Symmetry generates all atoms from Er at (0.0000, 0.0000, 0.0000), Er at (0.1442, 0.5000, 0.7391), Er at (0.1904, 0.5000, 0.0970), Tm at (0.0421, 0.5000, 0.2715), Tm at (0.1834, 0.0000, 0.4098) and In at (0.0000, 0.0000, 0.5000).

Entry 13:
A geometry-optimized KNaAgF4 structure, computed with PBE-GGA.

The value obtained for the total energy is -3.83 eV per atom. For the size of the total moment, the calculation gives 1.4 μB/cell. As for the mass density: 3.33 g/cm3.

The structure belongs to space group Cmcm (No. 63); the cell edges are 6.1727, 12.8052 and 6.1988 Å and the angles 90.00°, 90.00° and 90.00°. Symmetry generates all atoms from K at (0.0000, 0.1069, 0.2500), Na at (0.0000, 0.3943, 0.2500), Ag at (0.0000, 0.2571, 0.7500), F at (0.0000, 0.0862, 0.7500), F at (0.0000, 0.4318, 0.7500) and F at (0.2500, 0.2500, 0.0000).

Entry 14:
A geometry-optimized Sm3Y8Ho4 structure, computed with PBE-GGA.

The value obtained for the formation energy is 9.176 kcal/mol of atoms. For the size of the total moment, the calculation gives 0.0 μB/cell. As for the mass density: 6.01 g/cm3. The value obtained for the offset from the most stable computed form is 3.583 eV per formula unit.

The structure belongs to space group C2/m (No. 12); the cell edges are 13.4471, 12.8274 and 6.7535 Å and the angles 90.00°, 120.14° and 90.00°. Symmetry generates all atoms from Sm at (0.0000, 0.0000, 0.0000), Sm at (0.2500, 0.2500, 0.5000), Y at (0.0000, 0.1433, 0.5000), Y at (0.0000, 0.2490, 0.0000), Y at (0.2317, 0.0000, 0.5002), Y at (0.2392, 0.0000, 0.9875), Ho at (0.0000, 0.5000, 0.0000), Ho at (0.0000, 0.5000, 0.5000) and Ho at (0.2500, 0.2500, 0.0000).

Entry 15:
A geometry-optimized In3HgPb3 structure, computed with PBE-GGA.

The value obtained for the formation energy is 7.533 kcal/mol of atoms. For the size of the total moment, the calculation gives 0.0 μB/cell. As for the mass density: 6.53 g/cm3. The value obtained for the offset from the most stable computed form is 2.174 eV per formula unit.

The structure belongs to space group Pm-3n (No. 223); the cell edges are 8.4024, 8.4024 and 8.4024 Å and the angles 90.00°, 90.00° and 90.00°. Symmetry generates all atoms from In at (0.0000, 0.2500, 0.5000), Hg at (0.0000, 0.0000, 0.0000) and Pb at (0.0000, 0.5000, 0.2500).

Entry 16:
A geometry-optimized AlCrSb2 structure, computed with PBE-GGA.

The value obtained for the total energy is -5.13 eV per atom. For the size of the total moment, the calculation gives 12.0 μB/cell. As for the mass density: 4.49 g/cm3.

The structure belongs to space group I-42d (No. 122); the cell edges are 6.2530, 6.2530 and 12.1979 Å and the angles 90.00°, 90.00° and 90.00°. Symmetry generates all atoms from Al at (0.0000, 0.0000, 0.0000), Cr at (0.0000, 0.0000, 0.5000) and Sb at (0.2441, 0.2500, 0.6250).

Entry 17:
A geometry-optimized CeZnPd2 structure, computed with PBE-GGA.

The value obtained for the formation energy is -10.976 kcal/mol of atoms. For the size of the total moment, the calculation gives 0.6 μB/cell. As for the mass density: 9.20 g/cm3.

The structure belongs to space group P4/mmm (No. 123); the cell edges are 4.6862, 4.6862 and 3.4393 Å and the angles 90.00°, 90.00° and 90.00°. Symmetry generates all atoms from Ce at (0.0000, 0.0000, 0.0000), Zn at (0.5000, 0.5000, 0.0000) and Pd at (0.0000, 0.5000, 0.5000).

Entry 18:
A geometry-optimized SmPH structure, computed with PBE-GGA.

For the size of the total moment, the calculation gives 0.0 μB/cell. As for the mass density: 5.54 g/cm3. The value obtained for the offset from the most stable computed form is 0.800 eV per formula unit.

The structure belongs to space group I4mm (No. 107); the cell edges are 3.9640, 3.9640 and 6.9567 Å and the angles 90.00°, 90.00° and 90.00°. Symmetry generates all atoms from Sm at (0.0000, 0.0000, 0.0000), P at (0.0000, 0.0000, 0.4067) and H at (0.0000, 0.0000, 0.6311).

Entry 19:
A geometry-optimized NdHgRh structure, computed with PBE-GGA.

The value obtained for the formation energy is -12.439 kcal/mol of atoms. For the size of the total moment, the calculation gives 0.0 μB/cell. As for the mass density: 10.76 g/cm3.

The structure belongs to space group C2/m (No. 12); the cell edges are 10.4498, 4.2511 and 7.4579 Å and the angles 90.00°, 123.48° and 90.00°. Symmetry generates all atoms from Nd at (0.0685, 0.0000, 0.3261), Hg at (0.1717, 0.5000, 0.0777) and Rh at (0.1452, 0.5000, 0.6633).

Entry 20:
A geometry-optimized ScZnSi structure, computed with PBE-GGA.

The value obtained for the total energy is -4.55 eV per atom. For the size of the total moment, the calculation gives 0.0 μB/cell. As for the mass density: 4.38 g/cm3.

The structure belongs to space group Fmm2 (No. 42); the cell edges are 4.1453, 4.9881 and 10.1564 Å and the angles 90.00°, 90.00° and 90.00°. Symmetry generates all atoms from Sc at (0.0000, 0.0000, 0.0000), Zn at (0.0000, 0.0000, 0.3110) and Si at (0.0000, 0.0000, 0.6756).